Density functional theory data (PBE with a Hubbard U) for crystalline MnNiF5 at its relaxed geometry.

Cell: 5.392 5.392 5.392 Å, 140.14 106.06 87.46°
Element x y z (fractional)
Mn (0.000, 0.000, 0.000)
Ni (0.500, 0.500, 0.000)
F (0.185, 0.500, 0.685)
F (0.234, 0.234, 0.000)
F (0.500, 0.000, 0.500)
F (0.766, 0.766, 0.000)
F (0.815, 0.500, 0.315)

Values from the calculation:
The total magnetization is 6.00 μB per formula unit. As for the total energy: -4.98 eV per atom. As for the density of states at the Fermi level: 0.28 states/eV/f.u.